Entry 1:
Here is crystalline PrNi6B2 at its relaxed geometry from Alexandria via LeMat-Bulk. Energies are from PBE.

Lattice parameters (Å, degrees): 3.5779 3.5779 8.4760 90.00 90.00 90.00
Space group P4/mmm (No. 123)
Symmetry-distinct sites (fractional):
Pr1 0.0000 0.0000 0.0000
Ni1 0.0000 0.0000 0.5000
Ni2 0.0000 0.5000 0.2924
Ni3 0.5000 0.5000 0.5000
B1 0.5000 0.5000 0.1884

The value obtained for the energy of formation from the pure elements is -239.7 meV per atom. The calculation puts the total energy at -6.109 eV/atom.

---

Entry 2:
Here is crystalline PrNi3B2 at its relaxed geometry from Alexandria via LeMat-Bulk. Energies are from PBE.

Lattice parameters (Å, degrees): 5.2293 4.7820 6.3088 90.00 114.44 90.00
Space group P2_1/m (No. 11)
Symmetry-distinct sites (fractional):
Pr1 0.0878 0.2500 0.1767
Ni1 0.0376 0.2500 0.5872
Ni2 0.4513 0.7500 0.4131
Ni3 0.4775 0.2500 0.9561
B1 0.3445 0.5659 0.6900

The value obtained for the energy of formation from the pure elements is -372.7 meV per atom. The calculation puts the total energy at -6.286 eV/atom.

---

Entry 3:
Here is crystalline Pr2Ni5B4 at its relaxed geometry from Alexandria via LeMat-Bulk. Energies are from PBE.

Lattice parameters (Å, degrees): 9.8174 5.1307 6.8184 90.00 125.70 90.00
Space group C2/m (No. 12)
Symmetry-distinct sites (fractional):
Pr1 0.2255 0.0000 0.1479
Ni1 0.0000 0.5000 0.0000
Ni2 0.0760 0.2477 0.3733
B1 0.0987 0.0000 0.6386
B2 0.2215 0.5000 0.3401

The value obtained for the energy of formation from the pure elements is -451.6 meV per atom. The calculation puts the total energy at -6.377 eV/atom.

---

Entry 4:
Here is crystalline PrNi6B3 at its relaxed geometry from Alexandria via LeMat-Bulk. Energies are from PBE.

Lattice parameters (Å, degrees): 5.0494 5.0494 15.3472 90.00 90.00 120.00
Space group R3 (No. 146, hexagonal axes)
Symmetry-distinct sites (fractional):
Pr1 0.0000 0.0000 0.0000
Ni1 0.9999 0.5042 0.0728
Ni2 0.1314 0.3349 0.2126
B1 0.0000 0.0000 0.3049
B2 0.0000 0.0000 0.6396
B3 0.0000 0.0000 0.8314

The value obtained for the energy of formation from the pure elements is -199.4 meV per atom. The calculation puts the total energy at -6.149 eV/atom.

---

Entry 5:
Here is crystalline PrNi12B6 at its relaxed geometry from Alexandria via LeMat-Bulk. Energies are from PBE.

Lattice parameters (Å, degrees): 9.5604 9.5604 7.4070 90.00 90.00 120.00
Space group R-3m (No. 166, hexagonal axes)
Symmetry-distinct sites (fractional):
Pr1 0.0000 0.0000 0.0000
Ni1 0.0000 0.3686 0.5000
Ni2 0.0897 0.1795 0.3671
B1 0.0464 0.5232 0.2895

The value obtained for the energy of formation from the pure elements is -392.1 meV per atom. The calculation puts the total energy at -6.404 eV/atom. The value obtained for the relative energy among the computed polymorphs is 0.045 eV per formula unit.

---

Entry 6:
Here is crystalline PrNiBRh2 at its relaxed geometry from Alexandria via LeMat-Bulk. Energies are from PBE.

Lattice parameters (Å, degrees): 4.2769 4.2769 4.1007 90.00 90.00 90.00
Space group P4/mmm (No. 123)
Symmetry-distinct sites (fractional):
Pr1 0.0000 0.0000 0.0000
Ni1 0.5000 0.5000 0.0000
B1 0.5000 0.5000 0.5000
Rh1 0.0000 0.5000 0.5000

The value obtained for the energy of formation from the pure elements is -591.8 meV per atom. The calculation puts the total energy at -6.980 eV/atom.

---

Entry 7:
Here is crystalline PrSiNi6B at its relaxed geometry from Alexandria via LeMat-Bulk. Energies are from PBE.

Lattice parameters (Å, degrees): 6.3481 7.7696 10.2729 90.00 90.00 90.00
Space group Imma (No. 74)
Symmetry-distinct sites (fractional):
Pr1 0.0000 0.2500 0.1802
Si1 0.2500 0.2500 0.7500
Ni1 0.0000 0.2500 0.4645
Ni2 0.0000 0.2500 0.9021
Ni3 0.2240 0.0203 0.6222
B1 0.0000 0.0000 0.5000

As for the formation energy (no corrections): -0.115 eV/atom. The calculation puts the total energy at -5.845 eV/atom.

---

Entry 8:
Here is crystalline Ni2BPt at its relaxed geometry from Alexandria via LeMat-Bulk. Energies are from PBE.

Lattice parameters (Å, degrees): 2.8209 2.8209 19.4886 90.00 90.00 120.00
Space group R-3m (No. 166, hexagonal axes)
Symmetry-distinct sites (fractional):
Ni1 0.0000 0.0000 0.2228
B1 0.0000 0.0000 0.5000
Pt1 0.0000 0.0000 0.0000

The value obtained for the energy of formation from the pure elements is -129.4 meV per atom. The calculation puts the total energy at -6.200 eV/atom.

---

Entry 9:
Here is crystalline Ni3BPt at its relaxed geometry from Alexandria via LeMat-Bulk. Energies are from PBE.

Lattice parameters (Å, degrees): 5.3829 5.3829 4.4055 90.00 90.00 120.00
Space group P6_3/mmc (No. 194)
Symmetry-distinct sites (fractional):
Ni1 0.1746 0.3491 0.2500
B1 0.0000 0.0000 0.0000
Pt1 0.3333 0.6667 0.7500

The value obtained for the energy of formation from the pure elements is -88.0 meV per atom. The calculation puts the total energy at -6.100 eV/atom. The value obtained for the relative energy among the computed polymorphs is 0.134 eV per formula unit.

---

Entry 10:
Here is crystalline NiB2Pt3 at its relaxed geometry from Alexandria via LeMat-Bulk. Energies are from PBE.

Lattice parameters (Å, degrees): 12.1761 3.4540 7.5551 90.00 110.84 90.00
Space group C2/m (No. 12)
Symmetry-distinct sites (fractional):
Ni1 0.0648 0.0000 0.1686
B1 0.1138 0.0000 0.9057
B2 0.1379 0.5000 0.3349
Pt1 0.0506 0.5000 0.7049
Pt2 0.1681 0.0000 0.5322
Pt3 0.1966 0.5000 0.0860

The value obtained for the energy of formation from the pure elements is -265.0 meV per atom. The calculation puts the total energy at -6.475 eV/atom.

---

Entry 11:
Here is crystalline Ni3B2Pt4 at its relaxed geometry from Alexandria via LeMat-Bulk. Energies are from PBE.

Lattice parameters (Å, degrees): 13.2306 2.8050 6.8601 90.00 120.93 90.00
Space group C2/m (No. 12)
Symmetry-distinct sites (fractional):
Ni1 0.0000 0.0000 0.0000
Ni2 0.0817 0.0000 0.4658
B1 0.0894 0.5000 0.2665
Pt1 0.1098 0.5000 0.8370
Pt2 0.2205 0.0000 0.2773

The value obtained for the energy of formation from the pure elements is -143.9 meV per atom. The calculation puts the total energy at -6.240 eV/atom.

---

Entry 12:
Here is crystalline NiBPt3 at its relaxed geometry from Alexandria via LeMat-Bulk. Energies are from PBE.

Lattice parameters (Å, degrees): 8.4303 6.7877 5.6069 90.00 123.97 90.00
Space group C2/m (No. 12)
Symmetry-distinct sites (fractional):
Ni1 0.0716 0.0000 0.2585
B1 0.2128 0.0000 0.0421
Pt1 0.0221 0.5000 0.2661
Pt2 0.2037 0.2137 0.7245

The value obtained for the energy of formation from the pure elements is -135.2 meV per atom. The calculation puts the total energy at -6.251 eV/atom. The value obtained for the relative energy among the computed polymorphs is 0.000 eV per formula unit.

---

> Number 4 is which compound?

PrNi6B3